(1)
Mg6Sn3Rh: relaxed, PBE.

Lattice parameters (Å, degrees): 12.217 5.809 8.729 90.00 129.39 90.00
Space group C2/m (No. 12)
Asymmetric unit:
Mg1 0.079 0.241 0.327
Mg2 0.222 0.000 0.878
Sn1 0.000 0.500 0.000
Sn2 0.180 0.500 0.695
Rh1 0.000 0.000 0.500

Properties
Energy of formation in eV per atom: -0.077
V in A^3/atom: 23.94

=====

(2)
Mg3Sn3Rh2: relaxed, PBE.

Lattice parameters (Å, degrees): 7.309 16.732 5.459 90.00 90.00 90.00
Space group Pnma (No. 62)
Asymmetric unit:
Mg1 0.026 0.120 0.090
Mg2 0.162 0.250 0.667
Sn1 0.172 0.750 0.668
Sn2 0.185 0.034 0.589
Rh1 0.122 0.618 0.409

Properties
Energy of formation in eV per atom: -0.376
V in A^3/atom: 20.86

=====

(3)
MgSn4Rh2: relaxed, PBE.

Lattice parameters (Å, degrees): 4.4351 4.4351 27.6226 90.00 90.00 120.00
Space group R-3m (No. 166, hexagonal axes)
Asymmetric unit:
Mg1 0.0000 0.0000 0.0000
Sn1 0.0000 0.0000 0.2004
Sn2 0.0000 0.0000 0.3955
Rh1 0.0000 0.0000 0.0986

Properties
Energy of formation in eV per atom: -0.381
V in A^3/atom: 22.41

=====

(4)
MgSn3Rh: relaxed, PBE.

Lattice parameters (Å, degrees): 5.166 5.166 5.166 90.00 90.00 90.00
Space group Pm-3m (No. 221)
Asymmetric unit:
Mg1 0.000 0.000 0.000
Sn1 0.000 0.500 0.500
Rh1 0.500 0.500 0.500

Properties
Energy of formation in eV per atom: 0.038
Energy relative to the lowest polymorph listed for this composition in eV per atom: 0.307
V in A^3/atom: 27.57